Computed, not measured: a relaxed SrMg6Ga2 crystal at the PBE-GGA level of DFT.

Results
ΔH_f (0 K): -0.187 eV/atom
symmetry: P4/mmm

```
SrMg6Ga2
1.0
4.554 0.000 0.000
0.000 4.554 0.000
0.000 0.000 10.342
Sr Mg Ga
1 6 2
Direct
0.000 0.000 0.000
0.000 0.500 0.282
0.500 0.000 0.282
0.000 0.500 0.718
0.500 0.000 0.718
0.500 0.500 0.500
0.000 0.000 0.500
0.500 0.500 0.123
0.500 0.500 0.877
```

Computed, not measured: a relaxed PrGdCuBi crystal at the PBE-GGA level of DFT.

Results
ΔH_f (0 K): -0.370 eV/atom
symmetry: F-43m

```
PrGdCuBi
1.0
-2.518 1.901 -4.322
-5.254 0.995 0.187
-1.771 5.049 -0.060
Pr Gd Bi Cu
1 1 1 1
Direct
0.500 0.500 0.500
0.000 0.000 0.000
0.750 0.750 0.750
0.250 0.250 0.250
```

Computed, not measured: a relaxed DyNi3Pt crystal at the PBE-GGA level of DFT.

Results
ΔH_f (0 K): -0.430 eV/atom
symmetry: Imma

```
DyNi3Pt
1.0
4.789 0.000 0.000
0.000 9.143 0.000
-2.395 -4.571 3.482
Dy Ni Pt
2 6 2
Direct
0.250 0.249 0.500
0.750 0.751 0.500
0.804 0.304 0.107
0.304 0.304 0.107
0.696 0.696 0.893
0.196 0.696 0.893
0.250 0.951 0.500
0.750 0.049 0.500
0.000 0.500 0.000
0.500 0.000 0.000
```

Computed, not measured: a relaxed YTiCu crystal at the PBE-GGA level of DFT.

Results
ΔH_f (0 K): -0.018 eV/atom
E above lowest polymorph: 0.05 eV/f.u.
symmetry: Ima2

```
YTiCu
1.0
5.541 -0.002 0.072
2.523 4.933 0.072
2.410 1.474 4.400
Y Cu Ti
2 2 2
Direct
0.841 0.794 0.442
0.099 0.052 0.684
0.470 0.923 0.102
0.970 0.423 0.102
0.434 0.388 0.658
0.505 0.458 0.087
```

Computed, not measured: a relaxed BeNiRh2 crystal at the PBE-GGA level of DFT.

Results
ΔH_f (0 K): -0.245 eV/atom
symmetry: P4/mmm

```
BeNiRh2
1.0
-1.377 -1.956 -1.390
1.789 -1.905 0.908
-3.576 -1.000 4.952
Ni Rh Be
1 2 1
Direct
0.500 0.500 0.750
0.000 0.000 0.026
0.000 0.000 0.474
0.500 0.500 0.250
```

Computed, not measured: a relaxed CaIn3Ag crystal at the PBE-GGA level of DFT.

Results
ΔH_f (0 K): 0.762 eV/atom
symmetry: Pm-3m

```
CaIn3Ag
1.0
-3.878 -3.297 -2.932
-2.478 -1.602 5.079
-3.650 4.590 -0.333
Ca Ag In
1 1 3
Direct
0.000 0.000 0.000
0.500 0.500 0.500
0.000 0.500 0.000
0.000 0.000 0.500
0.500 0.000 0.000
```

Computed, not measured: a relaxed Y2ZnCu2 crystal at the PBE-GGA level of DFT.

Results
ΔH_f (0 K): -0.275 eV/atom
symmetry: C2/m

```
Y2ZnCu2
1.0
4.283 0.000 0.000
2.141 5.130 -0.142
2.141 0.541 9.245
Y Zn Cu
4 2 4
Direct
0.305 0.279 0.112
0.516 0.306 0.662
0.695 0.721 0.888
0.484 0.694 0.338
0.775 0.100 0.350
0.225 0.900 0.650
0.985 0.142 0.887
0.139 0.287 0.435
0.015 0.858 0.113
0.861 0.713 0.565
```

Computed, not measured: a relaxed YGa2Bi2 crystal at the PBE-GGA level of DFT.

Results
ΔH_f (0 K): -0.201 eV/atom
E above lowest polymorph: 0.04 eV/f.u.
symmetry: P4/mbm

```
YGa2Bi2
1.0
-6.578 3.776 -1.862
-4.194 -6.183 2.277
-0.202 1.576 3.910
Y Bi Ga
2 4 4
Direct
0.000 0.000 0.000
0.500 0.500 0.000
0.179 0.679 0.500
0.679 0.821 0.500
0.821 0.321 0.500
0.321 0.179 0.500
0.380 0.880 0.000
0.880 0.620 0.000
0.620 0.120 0.000
0.120 0.380 0.000
```

Computed, not measured: a relaxed La2BePbSe crystal at the PBE-GGA level of DFT.

Results
symmetry: P4/mmm
raw formation energy: -426 meV per atom

```
La2BePbSe
1.0
5.701 0.000 0.000
0.000 4.416 0.000
0.000 0.000 5.701
Pb Be Se La
1 1 1 2
Direct
0.000 0.500 0.000
0.000 0.000 0.000
0.500 0.500 0.500
0.000 0.000 0.500
0.500 0.000 0.000
```

Computed, not measured: a relaxed Ce3DyTm2Te6 crystal at the PBE-GGA level of DFT.

Results
symmetry: C2/m
raw formation energy: -1303 meV per atom

```
Ce3DyTm2Te6
1.0
7.539 -0.008 -0.001
-3.774 6.526 -0.001
-1.256 -2.176 7.370
Ce Dy Tm Te
3 1 2 6
Direct
0.165 0.835 0.500
0.835 0.165 0.500
0.500 0.500 0.500
0.000 0.000 0.000
0.333 0.667 0.000
0.667 0.333 0.000
0.921 0.585 0.764
0.741 0.741 0.234
0.079 0.415 0.236
0.585 0.921 0.764
0.259 0.259 0.766
0.415 0.079 0.236
```

Computed, not measured: a relaxed AgPbSe2 crystal at the PBE-GGA level of DFT.

Results
symmetry: P4/mmm
raw formation energy: -204 meV per atom

```
AgPbSe2
1.0
4.167 0.000 0.000
0.000 4.164 0.000
0.000 0.000 5.846
Ag Pb Se
1 1 2
Direct
0.000 0.000 0.375
0.500 0.500 0.875
0.000 0.000 0.875
0.500 0.500 0.375
```

Computed, not measured: a relaxed Ac2AlSn4Pd3 crystal at the PBE-GGA level of DFT.

Results
ΔH_f (0 K): -0.739 eV/atom
symmetry: P-4m2

```
Ac2AlSn4Pd3
1.0
-2.921 -3.398 0.896
3.429 -2.502 1.692
-1.946 4.446 10.520
Ac Al Sn Pd
2 1 4 3
Direct
0.500 0.000 0.248
0.000 0.500 0.752
0.500 0.500 0.500
0.500 0.500 0.000
0.000 0.000 0.000
0.500 0.000 0.636
0.000 0.500 0.364
0.000 0.000 0.500
0.500 0.000 0.866
0.000 0.500 0.134
```

Computed, not measured: a relaxed AcTb2Rh crystal at the PBE-GGA level of DFT.

Results
ΔH_f (0 K): -0.231 eV/atom
E above lowest polymorph: 0.94 eV/f.u.
symmetry: R-3m

```
AcTb2Rh
1.0
3.871 0.000 0.000
1.935 3.352 0.000
1.935 1.117 10.708
Rh Ac Tb
1 1 2
Direct
0.500 0.500 0.500
0.000 0.000 0.000
0.117 0.117 0.648
0.883 0.883 0.352
```